# HfAg3Ge

A relaxed HfAg3Ge crystal (PBE, Alexandria).

Total moment (μB per formula unit): 0.00
Calculated formation energy (kJ/mol of atoms): 126.05
Energy above the most stable polymorph in this dataset (eV per formula unit): 2.93

Unit cell a=5.208 b=5.208 c=5.208 alpha=90.00 beta=90.00 gamma=90.00
Atoms (fractional coordinates):
Ag 0.000 0.000 0.500
Ag 0.500 0.000 0.000
Ag 0.000 0.500 0.000
Ge 0.500 0.500 0.500
Hf 0.000 0.000 0.000